Compound: K3HoEr2S6
Source: Alexandria
Functional: PBE
Structure: optimized geometry

Properties
Formation energy without anion corrections, eV/atom: -1.8901
V, Å³/cell: 309.5
Crystal system: monoclinic
Fermi-level density of states, states/eV/cell: 0.0

Unit cell a=6.967 b=6.967 c=7.720 alpha=98.65 beta=98.65 gamma=120.00
Sites, in units of the cell vectors:
K1 0.000 0.000 0.000
K2 0.333 0.667 0.000
K3 0.667 0.333 0.000
Ho1 0.500 0.500 0.500
Er1 0.167 0.833 0.500
Er2 0.833 0.167 0.500
S1 0.099 0.433 0.300
S2 0.232 0.232 0.700
S3 0.433 0.099 0.300
S4 0.567 0.901 0.700
S5 0.768 0.768 0.300
S6 0.901 0.567 0.700